Computed, not measured: BeHSe at its PBEsol-relaxed geometry at the meta-GGA SCAN level of DFT.

a b c (Å): 3.617 3.617 9.060
angles (deg): 81.31 81.31 60.04
Sites, in units of the cell vectors:
Be1 0.764 0.764 0.433
Be2 0.475 0.475 0.262
Se1 0.409 0.409 0.519
Se2 0.831 0.831 0.176
H1 0.597 0.597 0.813
H2 0.665 0.665 0.875

Calculated values
SG = Cm, No. 8
Energy = -9.8516 eV per atom

---

Computed, not measured: BeRhAu at its PBEsol-relaxed geometry at the meta-GGA SCAN level of DFT.

a b c (Å): 2.752 2.752 5.986
angles (deg): 90.00 90.00 120.00
Sites, in units of the cell vectors:
Rh1 0.667 0.333 0.376
Au1 0.000 0.000 0.973
Be1 0.333 0.667 0.650

Calculated values
SG = P3m1, No. 156
Energy = -36.0000 eV per atom
Formation energy = -0.72 eV/f.u.